Material: La5Er2Tm2
Method: DFT, GGA-PBE
State: optimized geometry

Output
total magnetic moment	0.0	μB/cell
uncorrected energy	-82.34	eV per cell
space group	Ima2, No. 46
calculated formation energy	0.171	eV per atom
energy above the lowest structure with this stoichiometry	138	meV per atom

a = 12.936 Å, b = 6.263 Å, c = 10.435 Å
α = 107.46°, β = 128.30°, γ = 90.00°
Fractional coordinates of all 18 atoms:
La 0.251 0.744 0.900
La 0.749 0.844 0.100
La 0.149 0.244 0.900
La 0.851 0.344 0.100
La 0.327 0.094 0.289
La 0.673 0.805 0.711
La 0.462 0.594 0.289
La 0.538 0.305 0.711
La 0.080 0.794 0.500
La 0.920 0.294 0.500
Er 0.186 0.583 0.270
Er 0.814 0.313 0.730
Er 0.584 0.083 0.270
Er 0.416 0.813 0.730
Tm 0.000 0.886 0.000
Tm 0.500 0.386 0.000
Tm 0.192 0.273 0.500
Tm 0.808 0.773 0.500